First-principles (PBE with a Hubbard U) data for an optimized crystal structure of GaFeI2F, as listed in Alexandria via LeMat-Bulk.

Unit cell a=6.064 b=6.064 c=4.022 alpha=90.00 beta=90.00 gamma=90.00
Space group P4/mmm (No. 123)
Symmetry-distinct sites (fractional):
1 Ga 0.000 0.000 0.000 [1 per cell]
2 Fe 0.500 0.500 0.000 [1 per cell]
3 I 0.000 0.500 0.500 [2 per cell]
4 F 0.000 0.000 0.500 [1 per cell]

## Properties
Its volume is 29.57 A^3/atom. The theoretical density comes out at 4474 kg/m³. As for the total DFT energy (no corrections): -14.0 eV per cell.